Computed, not measured: a relaxed RbGeAsHSe crystal at the PBE-GGA level of DFT.

a = 3.9967 Å, b = 5.2874 Å, c = 6.5031 Å
α = 77.16°, β = 79.48°, γ = 84.72°
With the nearest neighbours (Å) after each atom.
Space group P1 (No. 1)
Symmetry-distinct sites (fractional):
Rb  0.0000  0.0000  0.0000 [1 per cell]  2 H 2.96-3.22
Ge  0.2282  0.5967  0.6018 [1 per cell]  1 As 2.50, 2 Se 2.56-2.68
As  0.3664  0.3896  0.2849 [1 per cell]  1 H 1.56
H  0.7348  0.4866  0.2194 [1 per cell]  1 As 1.56
Se  0.6867  0.9264  0.5377 [1 per cell]  2 Ge 2.56-2.68

Computed properties:
- Crystal system: triclinic
- E_tot: -18.04 eV per formula unit